# LaMgIrPb PBE relaxed
# Total energy   -4.941 eV/atom
# ΔE to the lowest computed polymorph   0.28 eV per formula unit
data_LaMgIrPb
_symmetry_space_group_name_H-M 'F -4 3 m'
_symmetry_Int_Tables_number 216
_symmetry_space_group_name_Hall 'F -4 2 3'
_cell_length_a 7.100
_cell_length_b 7.100
_cell_length_c 7.100
_cell_angle_alpha 90.00
_cell_angle_beta 90.00
_cell_angle_gamma 90.00
loop_
_atom_site_label
_atom_site_fract_x
_atom_site_fract_y
_atom_site_fract_z
La1 0.000 0.000 0.000
Mg1 0.250 0.250 0.750
Ir1 0.000 0.000 0.500
Pb1 0.250 0.250 0.250